Entry from the Alexandria database: a relaxed structure of Ag2BiCl4 (PBE-GGA).

Output
The uncorrected formation energy is -517 meV/atom. As for the space-group type: I4/m (87). The calculation puts the total DFT energy (no corrections) at -0.1081 Ha/atom.

Lattice parameters (Å, degrees): 7.7503 7.7503 7.2913 90.00 90.00 90.00
Atoms (fractional coordinates):
Ag 0.0000 0.5000 0.2500
Ag 0.0000 0.5000 0.7500
Ag 0.5000 0.0000 0.2500
Ag 0.5000 0.0000 0.7500
Bi 0.0000 0.0000 0.0000
Bi 0.5000 0.5000 0.5000
Cl 0.1629 0.3161 0.0000
Cl 0.1839 0.6629 0.5000
Cl 0.3161 0.8371 0.0000
Cl 0.3371 0.1839 0.5000
Cl 0.6629 0.8161 0.5000
Cl 0.6839 0.1629 0.0000
Cl 0.8161 0.3371 0.5000
Cl 0.8371 0.6839 0.0000